Record 1
Entry from Alexandria via LeMat-Bulk: a relaxed structure of MgCoIN2 (PBE).

Offset from the most stable computed form ... 1.234 eV/atom
SG ... P4/mmm (123)

Lattice parameters (Å, degrees): 4.0961 4.0961 5.7354 90.00 90.00 90.00
Last column: nearest neighbours and their distance in Å.
Positions (direct):
Mg 0.0000 0.0000 0.0000  2 I 2.87, 4 Co 2.90
Co 0.5000 0.5000 0.0000  4 Mg 2.90
I 0.0000 0.0000 0.5000  4 N 2.05
N 0.0000 0.5000 0.5000  2 I 2.05
N 0.5000 0.0000 0.5000  2 I 2.05


Record 2
Entry from Alexandria via LeMat-Bulk: a relaxed structure of MgCoIN2 (PBE).

Offset from the most stable computed form ... 0.568 eV/atom
SG ... P4/mmm (123)

Lattice parameters (Å, degrees): 4.0891 4.0891 6.1552 90.00 90.00 90.00
Last column: nearest neighbours and their distance in Å.
Positions (direct):
Mg 0.0000 0.0000 0.0000  4 N 2.04
Co 0.5000 0.5000 0.5000  4 I 2.89
I 0.0000 0.0000 0.5000  4 Co 2.89, 2 Mg 3.08
N 0.0000 0.5000 0.0000  2 Mg 2.04
N 0.5000 0.0000 0.0000  2 Mg 2.04


Q: offset from the most stable computed form of number 2 (MgCoIN2)?
A: 0.568 eV/atom


Q: The highest offset from the most stable computed form belongs to which entry?
A: number 1